No. 1
SrGaO2 (GGA-PBE, optimized geometry); uncorrected energy = -5.021 eV per atom
1.0
1.590 0.918 6.697
-1.590 0.918 6.697
0.000 -1.836 6.697
Sr Ga O
1 1 2
Cartesian
0.000 0.000 0.000
0.000 0.000 10.045
0.000 0.000 2.363
0.000 0.000 17.727

=====

No. 2
Ta2CrGeH (GGA-PBE, optimized geometry); uncorrected energy = -8.305 eV per atom
1.0
4.130 0.000 0.000
0.000 4.130 0.000
0.000 0.000 3.802
Ta Cr Ge H
2 1 1 1
Cartesian
0.000 2.065 0.000
2.065 0.000 0.000
0.000 0.000 1.901
2.065 2.065 1.901
0.000 0.000 0.000